This record from the Alexandria database describes crystalline SrNi2Ir2O7 at its relaxed geometry. The functional is GGA+U.

## Properties
As for the total magnetic moment: 7.56 μB/cell. The value obtained for the total DFT energy (no corrections) is -6.001 eV per atom. The calculation puts the calculated volume at 11.7 A^3/atom.

Cell: 4.0153 17.2309 4.0467 Å, 90.00 90.00 90.00°
Space group Imm2 (No. 44)
Inequivalent atoms, fractional coordinates:
Sr: 0.0000 0.0000 0.0000 x2
Ni: 0.0000 0.2499 0.4627 x4
Ir: 0.0000 0.3874 0.9839 x4
O: 0.0000 0.1204 0.4613 x4
O: 0.0000 0.2679 0.9611 x4
O: 0.0000 0.3704 0.4779 x4
O: 0.0000 0.5000 0.1149 x2